Below is a geometry-optimized AsPd2Pb2 structure, with properties calculated at the GGA-PBE level.

Output
**Calculated formation energy**: -0.1346 eV/atom
**Energy above the most stable polymorph in this dataset**: 44 meV/atom
**DOS(E_F)**: 2.7 states/eV/f.u.

Cell lengths 7.0092, 7.0092, 4.4250 Å; angles 90.00, 90.00, 90.00 degrees
Positions (direct):
Pd 0.1473 0.3527 0.0000
As 0.5000 0.5000 0.0000
Pb 0.6654 0.8346 0.5000
Pb 0.3346 0.1654 0.5000
Pd 0.6473 0.1473 0.0000
As 0.0000 0.0000 0.0000
Pd 0.8527 0.6473 0.0000
Pb 0.1654 0.6654 0.5000
Pd 0.3527 0.8527 0.0000
Pb 0.8346 0.3346 0.5000